A relaxed TlZnSb crystal. Source: the Alexandria database, functional GGA-PBE.

CIF file:
```
data_TlZnSb
_symmetry_space_group_name_H-M 'F -4 3 m'
_symmetry_Int_Tables_number 216
_symmetry_space_group_name_Hall 'F -4 2 3'
_cell_length_a 6.890
_cell_length_b 6.890
_cell_length_c 6.890
_cell_angle_alpha 90.00
_cell_angle_beta 90.00
_cell_angle_gamma 90.00
loop_
_atom_site_label
_atom_site_fract_x
_atom_site_fract_y
_atom_site_fract_z
Tl1 0.000 0.000 0.000
Zn1 0.250 0.250 0.750
Sb1 0.000 0.000 0.500
```

Values from the calculation:
**Calculated total energy**: -2.53 eV/atom
**Uncorrected formation energy**: 0.164 eV per formula unit